1.
The following is a PBE calculation of a geometry-optimized MgIn3Pt4 structure, from Alexandria via LeMat-Bulk.

```
8
Lattice="4.7144 0.0000 -1.2726 -0.3385 4.7076 -1.2540 -0.6964 -0.7836 6.7887" Properties=species:S:1:pos:R:3 pbc="T T T"
Mg 2.3572 0.0000 -0.6363
Pt 1.1212 1.1785 4.1535
Pt 2.5582 2.7454 0.1085
Pt 0.3704 0.3892 1.3723
Pt 3.3090 3.5347 2.8898
In -0.1693 2.3538 -0.6270
In 3.0919 0.7759 2.0854
In 0.5876 3.1480 2.1767
```

Properties
Formation enthalpy at 0 K   -4.2 eV/f.u.
SG   C2/m (12)

2.
The following is a PBE calculation of a geometry-optimized MgIn2Pt2 structure, from Alexandria via LeMat-Bulk.

```
10
Lattice="4.5027 0.0000 0.0000 0.0000 4.4930 -0.0605 0.0000 0.1339 9.8784" Properties=species:S:1:pos:R:3 pbc="T T T"
Mg 3.3770 1.2123 6.6095
Mg 1.1257 3.4147 3.2083
In 3.3770 1.2573 9.8288
In 1.1257 3.4593 6.6012
In 1.1257 3.3696 -0.0110
In 3.3770 1.1676 3.2166
Pt 1.1257 1.1903 4.9335
Pt 3.3770 3.3927 1.5929
Pt 1.1257 1.2342 8.2250
Pt 3.3770 3.4367 4.8844
```

Properties
Formation enthalpy at 0 K   -3.0 eV/f.u.
SG   Pmmn (59)

3.
The following is a PBE calculation of a geometry-optimized Mg12In3Pt structure, from Alexandria via LeMat-Bulk.

```
16
Lattice="-3.1842 -1.1583 -2.8610 2.0322 -3.8806 -0.6907 -9.1407 -7.1101 13.0518" Properties=species:S:1:pos:R:3 pbc="T T T"
Mg -0.5760 -2.5195 -1.7759
Mg -2.7506 -4.2110 1.3292
Mg -5.1464 -6.0745 4.7500
Mg -7.5421 -7.9380 8.1708
Mg -2.5721 -1.3415 -0.0312
Mg -4.9650 -3.2027 3.3855
Mg -7.3599 -5.0656 6.8052
Mg -9.7528 -6.9269 10.2219
Mg 0.0361 -2.7026 1.0540
Mg -2.3568 -4.5639 4.4707
Mg -4.7517 -6.4268 7.8904
Mg -7.1446 -8.2881 11.3071
In -2.1866 -1.7009 3.1223
In -4.5704 -3.5550 6.5259
In -6.9541 -5.4092 9.9295
Pt 0.0000 0.0000 0.0000
```

Properties
Formation enthalpy at 0 K   -2.9 eV/f.u.
SG   P4/mmm (123)

4.
The following is a PBE calculation of a geometry-optimized MgIn2Pt structure, from Alexandria via LeMat-Bulk.

```
4
Lattice="-4.1308 2.8589 0.3323 -4.9298 -0.9123 -0.4599 -1.5866 -0.5818 4.3699" Properties=species:S:1:pos:R:3 pbc="T T T"
In -1.6612 -0.5463 4.2764
In -2.6576 0.3283 1.1179
Mg -5.2408 0.6266 2.3033
Pt -7.9977 1.0569 3.0358
```

Properties
Formation enthalpy at 0 K   -1.1 eV/f.u.
SG   Cm (8)